Entry 1:
Computed, not measured: an optimized crystal structure of AgSe at the PBE-GGA level of DFT.

```
8
Lattice="2.4699 -4.2780 0.0000 2.4699 4.2780 0.0000 0.0000 0.0000 8.1878" Properties=species:S:1:pos:R:3 pbc="T T T"
Se 0.0000 0.0000 2.0470
Ag 2.4699 1.4260 3.4359
Se 0.0000 0.0000 6.1409
Ag 2.4699 1.4260 0.6580
Se 2.4699 -1.4260 2.0470
Se 2.4699 1.4260 6.1409
Ag 2.4699 -1.4260 7.5298
Ag 2.4699 -1.4260 4.7519
```

- Space group: P6_3/mmc
- Calculated total energy: -23.2 eV/cell
- DOS(E_F): 0.291 states/eV/atom
- Total moment: 0.00 μB/f.u.

Entry 2:
Computed, not measured: an optimized crystal structure of FeSbTe2 at the PBE-GGA level of DFT.

```
4
Lattice="-3.2459 8.3470 0.9091 -6.1379 6.3882 1.5977 -3.7671 7.0294 4.1751" Properties=species:S:1:pos:R:3 pbc="T T T"
Fe -3.2877 5.4412 1.6705
Sb -9.8632 16.3235 5.0114
Te -12.8488 21.2647 6.5284
Te -6.8775 11.3823 3.4944
```

- Space group: R-3m
- Calculated total energy: -18.4 eV/cell
- DOS(E_F): 1.045 states/eV/atom
- Total moment: 1.49 μB/f.u.

Entry 3:
Computed, not measured: an optimized crystal structure of Al2Zn2Cr at the PBE-GGA level of DFT.

```
10
Lattice="-1.1276 3.2334 6.0107 -6.2026 2.0565 -2.2699 -1.2884 -2.6056 1.1600" Properties=species:S:1:pos:R:3 pbc="T T T"
Al -5.6741 2.8849 0.1780
Cr -3.6651 2.6449 1.8704
Zn -3.7579 2.1541 4.8866
Al -1.6561 2.4050 3.5628
Zn -4.8607 0.5302 0.0141
Zn -1.9801 0.1348 2.3256
Al -4.9852 4.0863 3.6418
Zn -6.6385 2.5494 2.5752
Cr 0.0000 0.0000 0.0000
Al -2.3451 1.2036 0.0990
```

- Space group: P4/mbm
- Energy of formation from the pure elements: 363 meV per atom
- DOS(E_F): 0.984 states/eV/atom
- Energy relative to the lowest polymorph listed for this composition: 56.6 meV per atom
- Total moment: 0.00 μB/f.u.

Entry 4:
Computed, not measured: an optimized crystal structure of Tb3Y7 at the PBE-GGA level of DFT.

```
10
Lattice="-2.2166 -4.1730 2.7402 -0.3368 -3.7496 -5.9827 8.9177 0.8803 3.1102" Properties=species:S:1:pos:R:3 pbc="T T T"
Y 0.3066 -5.5713 -2.7924
Y 5.8894 -3.3439 -0.3283
Y 3.0591 -1.2356 0.5929
Tb 3.4879 -3.9379 2.2686
Tb 2.8764 -3.1044 -2.4010
Y 6.0577 -1.4710 2.6600
Y 3.3052 -5.8067 -0.7253
Y -0.1684 -1.8748 -2.9914
Y 0.4749 -3.6985 0.1959
Tb 0.0000 0.0000 0.0000
```

- Space group: C2/m
- Energy of formation from the pure elements: 48 meV per atom
- DOS(E_F): 1.853 states/eV/atom
- Energy relative to the lowest polymorph listed for this composition: 0.0 meV per atom
- Total moment: 0.00 μB/f.u.

Entry 5:
Computed, not measured: an optimized crystal structure of Dy5Ho3S8 at the PBE-GGA level of DFT.

```
16
Lattice="6.7639 0.0000 3.8744 2.2723 6.3708 3.8744 0.0262 0.0185 7.7957" Properties=species:S:1:pos:R:3 pbc="T T T"
Dy 4.5312 3.1946 7.7722
S 6.8032 4.7965 11.6470
S 3.3917 4.7827 5.8291
Dy 1.1362 3.1854 1.9372
S 5.6442 1.5878 5.8291
Dy 0.0000 0.0000 0.0000
Dy 4.5181 3.1854 3.8744
S 6.7837 4.7827 7.7721
S 2.2591 1.5928 3.8974
Ho 1.1492 3.1946 5.8350
S 5.6707 1.6065 9.7153
S 2.2787 1.6065 7.7723
Ho 0.0131 0.0092 3.8978
Ho 3.3950 0.0092 5.8350
Dy 3.3819 0.0000 1.9372
S 3.4182 4.8014 9.7153
```

- Space group: R-3m
- Calculated total energy: -101.5 eV/cell
- DOS(E_F): 0.573 states/eV/atom
- Total moment: 0.00 μB/f.u.

Entry 6:
Computed, not measured: an optimized crystal structure of RbBeTe2N at the PBE-GGA level of DFT.

```
5
Lattice="-0.2638 5.3537 -3.3543 -3.8994 -2.7794 -4.1295 -2.4657 0.9406 1.6952" Properties=species:S:1:pos:R:3 pbc="T T T"
Be 0.0000 0.0000 0.0000
Te -1.9497 -1.3897 -2.0647
Rb -3.3145 1.7575 -2.8943
N -1.2329 0.4703 0.8476
Te -0.1319 2.6769 -1.6771
```

- Space group: P4/mmm
- DOS(E_F): 1.161 states/eV/atom
- Energy relative to the lowest polymorph listed for this composition: 0.0 meV per atom
- Total moment: 0.00 μB/f.u.

Entry 7:
Computed, not measured: an optimized crystal structure of Rb2Au2Br at the PBE-GGA level of DFT.

```
5
Lattice="6.6547 0.0000 0.0000 0.0000 6.6547 0.0000 3.3273 3.3273 4.2743" Properties=species:S:1:pos:R:3 pbc="T T T"
Rb 3.3273 6.6547 2.1372
Rb 6.6547 3.3273 2.1372
Au 6.6547 6.6547 2.9374
Au 3.3273 3.3273 1.3369
Br 0.0000 0.0000 0.0000
```

- Space group: I4/mmm
- Calculated total energy: -12.7 eV/cell
- DOS(E_F): 0.187 states/eV/atom
- Total moment: 0.00 μB/f.u.

Entry 8:
Computed, not measured: an optimized crystal structure of Ta3InTc at the PBE-GGA level of DFT.

```
5
Lattice="-2.0475 -4.1148 1.7959 2.2651 -2.6510 -3.4915 3.8764 -0.6244 2.9888" Properties=species:S:1:pos:R:3 pbc="T T T"
Ta 1.1325 -1.3255 -1.7458
Ta -1.0237 -2.0574 0.8979
Ta 1.9382 -0.3122 1.4944
In 0.0000 0.0000 0.0000
Tc 2.0470 -3.6951 0.6466
```

- Space group: Pm-3m
- Energy of formation from the pure elements: 2485 meV per atom
- DOS(E_F): 1.114 states/eV/atom
- Energy relative to the lowest polymorph listed for this composition: 1483.8 meV per atom
- Total moment: 1.35 μB/f.u.

total moment of number 5 (Dy5Ho3S8)? 0.00 μB/f.u.

Please write out number 7 again, unchanged.
Computed, not measured: an optimized crystal structure of Rb2Au2Br at the PBE-GGA level of DFT.

```
5
Lattice="6.6547 0.0000 0.0000 0.0000 6.6547 0.0000 3.3273 3.3273 4.2743" Properties=species:S:1:pos:R:3 pbc="T T T"
Rb 3.3273 6.6547 2.1372
Rb 6.6547 3.3273 2.1372
Au 6.6547 6.6547 2.9374
Au 3.3273 3.3273 1.3369
Br 0.0000 0.0000 0.0000
```

- Space group: I4/mmm
- Calculated total energy: -12.7 eV/cell
- DOS(E_F): 0.187 states/eV/atom
- Total moment: 0.00 μB/f.u.

What is the formula in the sixth record? RbBeTe2N

The highest DOS(E_F) belongs to which entry? Tb3Y7